Record 1
First-principles (PBE-GGA) data for crystalline Ce2MgPa2 at its relaxed geometry, as listed in Alexandria via LeMat-Bulk.

Calculated values
**ΔH_f (0 K)**: 0.40 eV per atom
**Calculated volume**: 27.63 Å³/atom
**Magnetic moment**: 0.0 μB/f.u.

Structure (CIF):
```
data_Ce2MgPa2
_chemical_formula_sum 'Ce2 Mg1 Pa2'
_space_group_name_H-M_alt 'P 1'
_space_group_IT_number 1
_space_group_name_Hall 'P 1'
_cell_length_a 8.0118
_cell_length_b 8.0118
_cell_length_c 8.0118
_cell_angle_alpha 148.73
_cell_angle_beta 148.73
_cell_angle_gamma 44.81
loop_
_atom_site_label
_atom_site_type_symbol
_atom_site_fract_x
_atom_site_fract_y
_atom_site_fract_z
_atom_site_occupancy
Ce1 Ce 0.1148 0.1148 0.0000 1
Ce2 Ce 0.8852 0.8852 0.0000 1
Mg1 Mg 0.5000 0.5000 0.0000 1
Pa1 Pa 0.2500 0.7500 0.5000 1
Pa2 Pa 0.7500 0.2500 0.5000 1
```

Record 2
First-principles (PBE-GGA) data for crystalline NaAc2IrN2 at its relaxed geometry, as listed in Alexandria via LeMat-Bulk.

Calculated values
**VASP energy**: -6.2891 eV/atom
**Calculated volume**: 19.82 Å³/atom
**Magnetic moment**: 0.0 μB/f.u.

Structure (CIF):
```
data_NaAc2IrN2
_chemical_formula_sum 'Na2 Ac4 Ir2 N4'
_space_group_name_H-M_alt 'P 1'
_space_group_IT_number 1
_space_group_name_Hall 'P 1'
_cell_length_a 6.8691
_cell_length_b 7.6392
_cell_length_c 4.5333
_cell_angle_alpha 90.00
_cell_angle_beta 90.00
_cell_angle_gamma 90.00
loop_
_atom_site_label
_atom_site_type_symbol
_atom_site_fract_x
_atom_site_fract_y
_atom_site_fract_z
_atom_site_occupancy
Na1 Na 0.0000 0.0000 0.0000 1
Na2 Na 0.5000 0.5000 0.5000 1
Ac1 Ac 0.1241 0.2517 0.5000 1
Ac2 Ac 0.3759 0.7517 0.0000 1
Ac3 Ac 0.6241 0.2483 0.0000 1
Ac4 Ac 0.8759 0.7483 0.5000 1
Ir1 Ir 0.0000 0.5000 0.0000 1
Ir2 Ir 0.5000 0.0000 0.5000 1
N1 N 0.2100 0.8960 0.5000 1
N2 N 0.2900 0.3960 0.0000 1
N3 N 0.7100 0.6040 0.0000 1
N4 N 0.7900 0.1040 0.5000 1
```

Record 3
First-principles (PBE-GGA) data for crystalline HfMo2Ir at its relaxed geometry, as listed in Alexandria via LeMat-Bulk.

Calculated values
**ΔH_f (0 K)**: 0.01 eV per atom
**Offset from the most stable computed form**: 0 meV/atom
**Calculated volume**: 16.48 Å³/atom
**Magnetic moment**: 0.0 μB/f.u.

Structure (CIF):
```
data_HfMo2Ir
_chemical_formula_sum 'Hf1 Mo2 Ir1'
_space_group_name_H-M_alt 'P 1'
_space_group_IT_number 1
_space_group_name_Hall 'P 1'
_cell_length_a 4.5342
_cell_length_b 4.5342
_cell_length_c 4.5342
_cell_angle_alpha 60.00
_cell_angle_beta 60.00
_cell_angle_gamma 60.00
loop_
_atom_site_label
_atom_site_type_symbol
_atom_site_fract_x
_atom_site_fract_y
_atom_site_fract_z
_atom_site_occupancy
Hf1 Hf 0.0000 0.0000 0.0000 1
Mo1 Mo 0.2500 0.2500 0.2500 1
Mo2 Mo 0.7500 0.7500 0.7500 1
Ir1 Ir 0.5000 0.5000 0.5000 1
```

Record 4
First-principles (PBE-GGA) data for crystalline Ca2LaOs at its relaxed geometry, as listed in Alexandria via LeMat-Bulk.

Calculated values
**ΔH_f (0 K)**: 0.13 eV per atom
**Offset from the most stable computed form**: 19 meV/atom
**Calculated volume**: 31.68 Å³/atom
**Magnetic moment**: 0.0 μB/f.u.

Structure (CIF):
```
data_Ca2LaOs
_chemical_formula_sum 'Ca2 La1 Os1'
_space_group_name_H-M_alt 'P 1'
_space_group_IT_number 1
_space_group_name_Hall 'P 1'
_cell_length_a 8.0965
_cell_length_b 8.0965
_cell_length_c 8.0965
_cell_angle_alpha 155.26
_cell_angle_beta 145.13
_cell_angle_gamma 43.23
loop_
_atom_site_label
_atom_site_type_symbol
_atom_site_fract_x
_atom_site_fract_y
_atom_site_fract_z
_atom_site_occupancy
Ca1 Ca 0.1650 0.1650 0.0000 1
Ca2 Ca 0.8350 0.8350 0.0000 1
La1 La 0.5000 0.0000 0.5000 1
Os1 Os 0.0000 0.5000 0.5000 1
```

Record 5
First-principles (PBE-GGA) data for crystalline BeAgCl2 at its relaxed geometry, as listed in Alexandria via LeMat-Bulk.

Calculated values
**Offset from the most stable computed form**: 140 meV/atom
**Calculated volume**: 25.58 Å³/atom
**Magnetic moment**: 0.0 μB/f.u.

Structure (CIF):
```
data_BeAgCl2
_chemical_formula_sum 'Be1 Ag1 Cl2'
_space_group_name_H-M_alt 'P 1'
_space_group_IT_number 1
_space_group_name_Hall 'P 1'
_cell_length_a 3.4459
_cell_length_b 3.4459
_cell_length_c 10.9813
_cell_angle_alpha 90.00
_cell_angle_beta 90.00
_cell_angle_gamma 128.32
loop_
_atom_site_label
_atom_site_type_symbol
_atom_site_fract_x
_atom_site_fract_y
_atom_site_fract_z
_atom_site_occupancy
Be1 Be 0.0000 0.0000 0.0000 1
Ag1 Ag 0.0000 0.0000 0.5000 1
Cl1 Cl 0.5000 0.5000 0.1325 1
Cl2 Cl 0.5000 0.5000 0.8675 1
```

Record 6
First-principles (PBE-GGA) data for crystalline TlAg7 at its relaxed geometry, as listed in Alexandria via LeMat-Bulk.

Calculated values
**ΔH_f (0 K)**: 0.05 eV per atom
**Calculated volume**: 18.86 Å³/atom
**Magnetic moment**: 0.0 μB/f.u.

Structure (CIF):
```
data_TlAg7
_chemical_formula_sum 'Tl1 Ag7'
_space_group_name_H-M_alt 'P 1'
_space_group_IT_number 1
_space_group_name_Hall 'P 1'
_cell_length_a 5.9755
_cell_length_b 5.9755
_cell_length_c 5.9755
_cell_angle_alpha 60.00
_cell_angle_beta 60.00
_cell_angle_gamma 60.00
loop_
_atom_site_label
_atom_site_type_symbol
_atom_site_fract_x
_atom_site_fract_y
_atom_site_fract_z
_atom_site_occupancy
Tl1 Tl 0.0000 0.0000 0.0000 1
Ag1 Ag 0.0000 0.0000 0.5000 1
Ag2 Ag 0.0000 0.5000 0.0000 1
Ag3 Ag 0.0000 0.5000 0.5000 1
Ag4 Ag 0.5000 0.0000 0.0000 1
Ag5 Ag 0.5000 0.0000 0.5000 1
Ag6 Ag 0.5000 0.5000 0.0000 1
Ag7 Ag 0.5000 0.5000 0.5000 1
```

Record 7
First-principles (PBE-GGA) data for crystalline Ga2OsAu at its relaxed geometry, as listed in Alexandria via LeMat-Bulk.

Calculated values
**ΔH_f (0 K)**: 0.33 eV per atom
**Offset from the most stable computed form**: 147 meV/atom
**Calculated volume**: 17.48 Å³/atom
**Magnetic moment**: 0.0 μB/f.u.

Structure (CIF):
```
data_Ga2OsAu
_chemical_formula_sum 'Ga2 Os1 Au1'
_space_group_name_H-M_alt 'P 1'
_space_group_IT_number 1
_space_group_name_Hall 'P 1'
_cell_length_a 10.8774
_cell_length_b 10.8774
_cell_length_c 10.8774
_cell_angle_alpha 14.46
_cell_angle_beta 14.46
_cell_angle_gamma 14.46
loop_
_atom_site_label
_atom_site_type_symbol
_atom_site_fract_x
_atom_site_fract_y
_atom_site_fract_z
_atom_site_occupancy
Ga1 Ga 0.0817 0.0817 0.0817 1
Ga2 Ga 0.9183 0.9183 0.9183 1
Os1 Os 0.0000 0.0000 0.0000 1
Au1 Au 0.5000 0.5000 0.5000 1
```

Record 8
First-principles (PBE-GGA) data for crystalline PmMn2Co9 at its relaxed geometry, as listed in Alexandria via LeMat-Bulk.

Calculated values
**ΔH_f (0 K)**: 0.02 eV per atom
**Calculated volume**: 13.23 Å³/atom
**Magnetic moment**: 21.6 μB/f.u.

Structure (CIF):
```
data_PmMn2Co9
_chemical_formula_sum 'Pm1 Mn2 Co9'
_space_group_name_H-M_alt 'P 1'
_space_group_IT_number 1
_space_group_name_Hall 'P 1'
_cell_length_a 8.2628
_cell_length_b 8.2628
_cell_length_c 8.2628
_cell_angle_alpha 34.18
_cell_angle_beta 34.18
_cell_angle_gamma 34.18
loop_
_atom_site_label
_atom_site_type_symbol
_atom_site_fract_x
_atom_site_fract_y
_atom_site_fract_z
_atom_site_occupancy
Pm1 Pm 0.0000 0.0000 0.0000 1
Mn1 Mn 0.1453 0.1453 0.1453 1
Mn2 Mn 0.8547 0.8547 0.8547 1
Co1 Co 0.0778 0.5919 0.5919 1
Co2 Co 0.3362 0.3362 0.3362 1
Co3 Co 0.4081 0.4081 0.9222 1
Co4 Co 0.4081 0.9222 0.4081 1
Co5 Co 0.5000 0.5000 0.5000 1
Co6 Co 0.5919 0.0778 0.5919 1
Co7 Co 0.5919 0.5919 0.0778 1
Co8 Co 0.6638 0.6638 0.6638 1
Co9 Co 0.9222 0.4081 0.4081 1
```

Record 9
First-principles (PBE-GGA) data for crystalline Th4MnBr5 at its relaxed geometry, as listed in Alexandria via LeMat-Bulk.

Calculated values
**VASP energy**: -5.7753 eV/atom
**Calculated volume**: 32.22 Å³/atom
**Magnetic moment**: 0.0 μB/f.u.

Structure (CIF):
```
data_Th4MnBr5
_chemical_formula_sum 'Th4 Mn1 Br5'
_space_group_name_H-M_alt 'P 1'
_space_group_IT_number 1
_space_group_name_Hall 'P 1'
_cell_length_a 9.8129
_cell_length_b 9.8129
_cell_length_c 8.9563
_cell_angle_alpha 103.99
_cell_angle_beta 103.99
_cell_angle_gamma 22.67
loop_
_atom_site_label
_atom_site_type_symbol
_atom_site_fract_x
_atom_site_fract_y
_atom_site_fract_z
_atom_site_occupancy
Th1 Th 0.0008 0.0008 0.2974 1
Th2 Th 0.3492 0.3492 0.4147 1
Th3 Th 0.6508 0.6508 0.5853 1
Th4 Th 0.9992 0.9992 0.7026 1
Mn1 Mn 0.5000 0.5000 0.5000 1
Br1 Br 0.1635 0.1635 0.8536 1
Br2 Br 0.1700 0.1700 0.3271 1
Br3 Br 0.5000 0.5000 0.0000 1
Br4 Br 0.8300 0.8300 0.6729 1
Br5 Br 0.8365 0.8365 0.1464 1
```

Record 10
First-principles (PBE-GGA) data for crystalline KSrB3H12 at its relaxed geometry, as listed in Alexandria via LeMat-Bulk.

Calculated values
**VASP energy**: -4.1162 eV/atom
**Calculated volume**: 10.91 Å³/atom
**Magnetic moment**: 0.0 μB/f.u.

Structure (CIF):
```
data_KSrB3H12
_chemical_formula_sum 'K4 Sr4 B12 H48'
_space_group_name_H-M_alt 'P 1'
_space_group_IT_number 1
_space_group_name_Hall 'P 1'
_cell_length_a 8.1451
_cell_length_b 8.0729
_cell_length_c 11.2862
_cell_angle_alpha 90.00
_cell_angle_beta 90.00
_cell_angle_gamma 90.00
loop_
_atom_site_label
_atom_site_type_symbol
_atom_site_fract_x
_atom_site_fract_y
_atom_site_fract_z
_atom_site_occupancy
K1 K 0.0234 0.0079 0.0000 1
K2 K 0.4766 0.5079 0.5000 1
K3 K 0.5234 0.4921 0.0000 1
K4 K 0.9766 0.9921 0.5000 1
Sr1 Sr 0.0302 0.4957 0.2691 1
Sr2 Sr 0.4698 0.9957 0.7691 1
Sr3 Sr 0.5302 0.0043 0.2691 1
Sr4 Sr 0.9698 0.5043 0.7691 1
B1 B 0.0566 0.3969 0.5295 1
B2 B 0.1547 0.8267 0.7236 1
B3 B 0.2458 0.2814 0.8327 1
B4 B 0.2542 0.7814 0.3327 1
B5 B 0.3453 0.3267 0.2236 1
B6 B 0.4434 0.8969 0.0295 1
B7 B 0.5566 0.1031 0.5295 1
B8 B 0.6547 0.6733 0.7236 1
B9 B 0.7458 0.2186 0.8327 1
B10 B 0.7542 0.7186 0.3327 1
B11 B 0.8453 0.1733 0.2236 1
B12 B 0.9434 0.6031 0.0295 1
H1 H 0.0073 0.7036 0.0967 1
H2 H 0.0123 0.8025 0.6937 1
H3 H 0.0523 0.5137 0.9899 1
H4 H 0.0995 0.2479 0.8412 1
H5 H 0.1301 0.3208 0.4518 1
H6 H 0.1553 0.4825 0.5844 1
H7 H 0.1562 0.9483 0.7886 1
H8 H 0.1812 0.7057 0.4109 1
H9 H 0.2076 0.7431 0.2333 1
H10 H 0.2129 0.7078 0.7767 1
H11 H 0.2321 0.9312 0.3448 1
H12 H 0.2387 0.8536 0.6352 1
H13 H 0.2613 0.3536 0.1352 1
H14 H 0.2679 0.4312 0.8448 1
H15 H 0.2871 0.2078 0.2767 1
H16 H 0.2924 0.2431 0.7333 1
H17 H 0.3188 0.2057 0.9109 1
H18 H 0.3438 0.4483 0.2886 1
H19 H 0.3447 0.9825 0.0844 1
H20 H 0.3699 0.8208 0.9518 1
H21 H 0.4005 0.7479 0.3412 1
H22 H 0.4477 0.0137 0.4899 1
H23 H 0.4877 0.3025 0.1937 1
H24 H 0.4927 0.2036 0.5967 1
H25 H 0.5073 0.7964 0.0967 1
H26 H 0.5123 0.6975 0.6937 1
H27 H 0.5523 0.9863 0.9899 1
H28 H 0.5995 0.2521 0.8412 1
H29 H 0.6301 0.1792 0.4518 1
H30 H 0.6553 0.0175 0.5844 1
H31 H 0.6562 0.5517 0.7886 1
H32 H 0.6812 0.7943 0.4109 1
H33 H 0.7076 0.7569 0.2333 1
H34 H 0.7129 0.7922 0.7767 1
H35 H 0.7321 0.5688 0.3448 1
H36 H 0.7387 0.6464 0.6352 1
H37 H 0.7613 0.1464 0.1352 1
H38 H 0.7679 0.0688 0.8448 1
H39 H 0.7871 0.2922 0.2767 1
H40 H 0.7924 0.2569 0.7333 1
H41 H 0.8188 0.2943 0.9109 1
H42 H 0.8438 0.0517 0.2886 1
H43 H 0.8447 0.5175 0.0844 1
H44 H 0.8699 0.6792 0.9518 1
H45 H 0.9005 0.7521 0.3412 1
H46 H 0.9477 0.4863 0.4899 1
H47 H 0.9877 0.1975 0.1937 1
H48 H 0.9927 0.2964 0.5967 1
```

Record 11
First-principles (PBE-GGA) data for crystalline Nd2Cu3Ge4Au at its relaxed geometry, as listed in Alexandria via LeMat-Bulk.

Calculated values
**ΔH_f (0 K)**: -0.52 eV per atom
**Calculated volume**: 18.66 Å³/atom
**Magnetic moment**: 0.0 μB/f.u.

Structure (CIF):
```
data_Nd2Cu3Ge4Au
_chemical_formula_sum 'Nd2 Cu3 Ge4 Au1'
_space_group_name_H-M_alt 'P 1'
_space_group_IT_number 1
_space_group_name_Hall 'P 1'
_cell_length_a 4.2860
_cell_length_b 4.2860
_cell_length_c 10.1565
_cell_angle_alpha 90.00
_cell_angle_beta 90.00
_cell_angle_gamma 90.00
loop_
_atom_site_label
_atom_site_type_symbol
_atom_site_fract_x
_atom_site_fract_y
_atom_site_fract_z
_atom_site_occupancy
Nd1 Nd 0.0000 0.5000 0.2440 1
Nd2 Nd 0.5000 0.0000 0.7560 1
Cu1 Cu 0.0000 0.5000 0.8759 1
Cu2 Cu 0.5000 0.0000 0.1241 1
Cu3 Cu 0.5000 0.5000 0.5000 1
Ge1 Ge 0.0000 0.0000 0.0000 1
Ge2 Ge 0.0000 0.5000 0.6409 1
Ge3 Ge 0.5000 0.0000 0.3591 1
Ge4 Ge 0.5000 0.5000 0.0000 1
Au1 Au 0.0000 0.0000 0.5000 1
```

Record 12
First-principles (PBE-GGA) data for crystalline CsZn6Au3 at its relaxed geometry, as listed in Alexandria via LeMat-Bulk.

Calculated values
**ΔH_f (0 K)**: -0.07 eV per atom
**Calculated volume**: 25.38 Å³/atom
**Magnetic moment**: 0.0 μB/f.u.

Structure (CIF):
```
data_CsZn6Au3
_chemical_formula_sum 'Cs2 Zn12 Au6'
_space_group_name_H-M_alt 'P 1'
_space_group_IT_number 1
_space_group_name_Hall 'P 1'
_cell_length_a 7.5113
_cell_length_b 7.9410
_cell_length_c 10.1048
_cell_angle_alpha 90.00
_cell_angle_beta 122.65
_cell_angle_gamma 90.00
loop_
_atom_site_label
_atom_site_type_symbol
_atom_site_fract_x
_atom_site_fract_y
_atom_site_fract_z
_atom_site_occupancy
Cs1 Cs 0.0000 0.0000 0.0000 1
Cs2 Cs 0.0000 0.5000 0.5000 1
Zn1 Zn 0.1211 0.0182 0.4379 1
Zn2 Zn 0.1211 0.4818 0.9379 1
Zn3 Zn 0.4902 0.1972 0.7100 1
Zn4 Zn 0.4902 0.3028 0.2100 1
Zn5 Zn 0.4963 0.1762 0.9702 1
Zn6 Zn 0.4963 0.3238 0.4702 1
Zn7 Zn 0.5037 0.6762 0.5298 1
Zn8 Zn 0.5037 0.8238 0.0298 1
Zn9 Zn 0.5098 0.6972 0.7900 1
Zn10 Zn 0.5098 0.8028 0.2900 1
Zn11 Zn 0.8789 0.5182 0.0621 1
Zn12 Zn 0.8789 0.9818 0.5621 1
Au1 Au 0.2781 0.5401 0.2455 1
Au2 Au 0.2781 0.9599 0.7455 1
Au3 Au 0.5000 0.0000 0.5000 1
Au4 Au 0.5000 0.5000 0.0000 1
Au5 Au 0.7219 0.0401 0.2545 1
Au6 Au 0.7219 0.4599 0.7545 1
```